DFT (PBE) results for a geometry-optimized CuAg3Sb3Se8 structure.

**Crystal system**: monoclinic
**DFT total energy**: -54.7 eV per cell
**Magnetic moment**: 0.00 μB/cell
**Symmetry**: C2/m, No. 12

```
CuAg3Sb3Se8
1.0
7.9855 0.0000 0.0000
-3.9927 6.9146 -0.0274
0.0000 -4.5888 6.6188
Cu Ag Sb Se
1 3 3 8
direct
0.0000 0.0000 0.5000
0.0000 0.0000 0.0000
0.0000 0.5000 0.0000
0.5000 0.5000 0.0000
0.5000 0.0000 0.5000
0.5000 0.5000 0.5000
0.0000 0.5000 0.5000
0.2481 0.4961 0.2444
0.7519 0.5039 0.7556
0.7712 0.5424 0.2657
0.2288 0.4576 0.7343
0.7700 0.9944 0.2647
0.2300 0.0056 0.7353
0.2244 0.9944 0.2647
0.7756 0.0056 0.7353
```

---

DFT (PBE) results for a geometry-optimized CuAgSbSe3 structure.

**Crystal system**: monoclinic
**DFT total energy**: -44.6 eV per cell
**Magnetic moment**: 0.00 μB/cell
**Symmetry**: P2_1/m, No. 11

```
CuAgSbSe3
1.0
4.0772 0.0000 0.0000
0.0000 8.3142 -0.2958
0.0000 -2.4775 8.9179
Cu Ag Sb Se
2 2 2 6
direct
0.2500 0.0816 0.5097
0.7500 0.9184 0.4903
0.2500 0.6818 0.1724
0.7500 0.3182 0.8276
0.2500 0.1911 0.1621
0.7500 0.8089 0.8379
0.7500 0.9252 0.1380
0.2500 0.0748 0.8620
0.2500 0.7671 0.4688
0.7500 0.2329 0.5312
0.7500 0.4122 0.1266
0.2500 0.5878 0.8734
```

---

DFT (PBE) results for a geometry-optimized Cu2AgSbSe4 structure.

**Crystal system**: tetragonal
**DFT total energy**: -30.4 eV per cell
**Magnetic moment**: 0.00 μB/cell
**Symmetry**: I-42m, No. 121

```
Cu2AgSbSe4
1.0
5.8964 0.2448 0.0003
-0.2451 5.8966 -0.0004
-2.8253 -3.0710 5.7323
Cu Ag Sb Se
2 1 1 4
direct
0.7500 0.2500 0.5001
0.2500 0.7500 0.5001
0.0002 0.0002 0.0005
0.4999 0.4999 0.9998
0.6061 0.6061 0.7179
0.3941 0.8880 0.2821
0.8880 0.3942 0.2822
0.1118 0.1118 0.7179
```

---

DFT (PBE) results for a geometry-optimized CuAg7Sn2Sb2 structure.

**Crystal system**: monoclinic
**DFT total energy**: -39.0 eV per cell
**Magnetic moment**: 0.00 μB/cell
**Symmetry**: C2/m, No. 12

```
CuAg7Sn2Sb2
1.0
3.9892 -0.0037 0.0311
0.0011 3.9892 0.0311
1.9054 1.9030 16.0301
Cu Ag Sn Sb
1 7 2 2
direct
0.0000 0.0000 0.0000
0.5000 0.5000 0.0000
0.2701 0.2701 0.4602
0.7299 0.7299 0.5398
0.9348 0.4346 0.1295
0.4346 0.9348 0.1295
0.5654 0.0652 0.8705
0.0652 0.5654 0.8705
0.6349 0.6349 0.7262
0.3651 0.3651 0.2738
0.8195 0.8195 0.3640
0.1805 0.1805 0.6360
```

---

DFT (PBE) results for a geometry-optimized SrCuAgSb2 structure.

**Crystal system**: tetragonal
**DFT total energy**: -18.7 eV per cell
**Magnetic moment**: 0.00 μB/cell
**Symmetry**: I-4m2, No. 119

```
SrCuAgSb2
1.0
4.5742 0.0000 0.0000
0.0000 4.5742 0.0000
-2.2871 -2.2871 6.0851
Sr Cu Ag Sb
1 1 1 2
direct
0.0000 0.0000 0.0000
0.2500 0.7500 0.5000
0.7500 0.2500 0.5000
0.6239 0.6239 0.2478
0.3761 0.3761 0.7522
```

---

DFT (PBE) results for a geometry-optimized Sr2Cu3AgSb4 structure.

**Crystal system**: tetragonal
**DFT total energy**: -39.3 eV per cell
**Magnetic moment**: 0.00 μB/cell
**Symmetry**: P-4m2, No. 115

```
Sr2Cu3AgSb4
1.0
-1.1948 3.3812 -2.9592
-3.0399 1.6466 3.1089
7.8578 6.4920 4.2451
Sr Cu Ag Sb
2 3 1 4
direct
0.5000 0.0000 0.2573
0.0000 0.5000 0.7427
0.0000 0.0000 0.5000
0.5000 0.0000 0.8719
0.0000 0.5000 0.1281
0.5000 0.5000 0.5000
0.5000 0.5000 0.0000
0.0000 0.0000 0.0000
0.5000 0.0000 0.6385
0.0000 0.5000 0.3615
```

---

DFT (PBE) results for a geometry-optimized Cu2AgSbTe4 structure.

**Crystal system**: tetragonal
**DFT total energy**: -28.2 eV per cell
**Magnetic moment**: 0.00 μB/cell
**Symmetry**: I-42m, No. 121

```
Cu2AgSbTe4
1.0
-2.5948 -0.9426 5.6283
1.9284 -5.9638 -0.1127
5.6278 5.1146 -0.0385
Cu Ag Sb Te
2 1 1 4
direct
0.7501 0.2501 0.5001
0.2501 0.7501 0.5001
0.5002 0.5002 0.0004
0.0000 0.9999 0.9999
0.6032 0.6033 0.7160
0.3966 0.8875 0.2841
0.8875 0.3966 0.2841
0.1127 0.1127 0.7160
```

---

DFT (PBE) results for a geometry-optimized CuAgSbTe2 structure.

**Crystal system**: tetragonal
**DFT total energy**: -12.9 eV per cell
**Magnetic moment**: 0.00 μB/cell
**Energy above the lowest structure with this stoichiometry**: 394 meV/atom
**Symmetry**: P4/mmm, No. 123

```
CuAgSbTe2
1.0
-2.9821 -3.2082 -3.3215
4.5878 -1.6080 -2.5659
0.5018 -3.9733 3.3872
Sb Te Cu Ag
1 2 1 1
direct
0.0000 0.0000 0.5000
0.0000 0.5000 0.0000
0.5000 0.0000 0.0000
0.5000 0.5000 0.5000
0.0000 0.0000 0.0000
```

---

DFT (PBE) results for a geometry-optimized CuAgSbTe2 structure.

**Crystal system**: tetragonal
**DFT total energy**: -14.8 eV per cell
**Magnetic moment**: 0.00 μB/cell
**Energy above the lowest structure with this stoichiometry**: 0 meV/atom
**Symmetry**: P4/mmm, No. 123

```
CuAgSbTe2
1.0
5.3137 0.0000 0.0000
0.0000 5.3137 0.0000
0.0000 0.0000 4.9120
Sb Te Cu Ag
1 2 1 1
direct
0.0000 0.0000 0.5000
0.0000 0.5000 0.0000
0.5000 0.0000 0.0000
0.0000 0.0000 0.0000
0.5000 0.5000 0.5000
```

---

DFT (PBE) results for a geometry-optimized VCuAg2Sb structure.

**Crystal system**: tetragonal
**DFT total energy**: -19.5 eV per cell
**Magnetic moment**: 2.85 μB/cell
**Symmetry**: P4/mmm, No. 123

```
VCuAg2Sb
1.0
-1.2640 3.3441 -3.1259
-4.5426 -0.5162 1.2847
0.5628 3.3197 3.3238
Sb Cu Ag V
1 1 2 1
direct
0.5000 0.5000 0.5000
0.0000 0.0000 0.0000
0.0000 0.5000 0.0000
0.5000 0.0000 0.0000
0.0000 0.0000 0.5000
```

---

DFT (PBE) results for a geometry-optimized ZnCuAgSb2 structure.

**Crystal system**: tetragonal
**DFT total energy**: -12.5 eV per cell
**Magnetic moment**: 0.00 μB/cell
**Symmetry**: P4/mmm, No. 123

```
ZnCuAgSb2
1.0
-2.5403 -4.6151 1.0191
2.9788 -0.8376 3.6319
-3.3341 2.5699 3.3272
Sb Zn Cu Ag
2 1 1 1
direct
0.0000 0.0000 0.5000
0.5000 0.0000 0.0000
0.0000 0.5000 0.0000
0.5000 0.5000 0.5000
0.0000 0.0000 0.0000
```

---

DFT (PBE) results for a geometry-optimized Sc5Cu4Ag structure.

**Crystal system**: tetragonal
**DFT total energy**: -53.7 eV per cell
**Magnetic moment**: 0.00 μB/cell
**Symmetry**: P4/mmm, No. 123

```
Sc5Cu4Ag
1.0
3.2596 0.0000 0.0000
0.0000 3.2596 0.0000
0.0000 0.0000 16.8450
Sc Cu Ag
5 4 1
direct
0.5000 0.5000 0.1113
0.5000 0.5000 0.3054
0.5000 0.5000 0.5000
0.5000 0.5000 0.6946
0.5000 0.5000 0.8887
0.0000 0.0000 0.2074
0.0000 0.0000 0.4028
0.0000 0.0000 0.5972
0.0000 0.0000 0.7926
0.0000 0.0000 0.0000
```

---

DFT (PBE) results for a geometry-optimized Sc6CuAg5 structure.

**Crystal system**: orthorhombic
**DFT total energy**: -59.5 eV per cell
**Magnetic moment**: 0.00 μB/cell
**Symmetry**: Immm, No. 71

```
Sc6CuAg5
1.0
-4.1558 1.8927 -1.6029
-3.2783 -2.7239 5.2835
4.9626 6.4314 2.0339
Sc Ag Cu
6 5 1
direct
0.8375 0.5927 0.6751
0.8376 0.0824 0.6751
0.4999 0.7599 0.0000
0.5001 0.2401 0.0000
0.1624 0.9176 0.3249
0.1625 0.4073 0.3249
0.6709 0.1709 0.3419
0.3330 0.3330 0.6659
0.0000 0.5000 0.0000
0.6670 0.6670 0.3341
0.3291 0.8291 0.6581
0.0000 0.0000 0.0000
```